Below is an optimized crystal structure of Tc3SnN, with properties calculated at the PBE-GGA level.

electronic total energy = -0.630 Ry per atom
DOS(E_F) = 9.1 states/eV per cell
total magnetic moment = 0.0 μB/cell
E_form (uncorrected) = 0.1165 eV per atom
V = 16.06 Å³/atom

Cell lengths 4.0968, 5.6222, 7.2684 Å; angles 90.00, 106.42, 90.00 degrees
Space group P2_1/m (No. 11)
One atom of each set of equivalent atoms:
Tc1 0.1150 0.2500 0.2313
Tc2 0.3030 0.0149 0.6061
Sn1 0.0876 0.7500 0.1758
N1 0.3999 0.7500 0.7986